(1)
A relaxed structure of Ac2TiVO6, computed with PBE+U.

DFT total energy = -167.76 eV per cell
Calculated volume = 266 Å³/cell

a b c (Å): 5.740 5.732 8.096
angles (deg): 90.00 90.17 90.00
Each line ends with the local moment (μB).
Fractional positions:
Ac (0.005, 0.973, 0.250)  0.02
Ac (0.505, 0.527, 0.750)  0.02
Ac (0.995, 0.027, 0.750)  0.02
Ac (0.495, 0.473, 0.250)  0.02
Ti (0.500, 0.000, 0.500)  0.15
Ti (0.000, 0.500, 0.000)  0.15
V (0.500, 0.000, 0.000)  2.53
V (0.000, 0.500, 0.500)  2.53
O (0.269, 0.712, 0.035)  0.00
O (0.769, 0.788, 0.535)  0.00
O (0.731, 0.288, 0.965)  0.00
O (0.231, 0.212, 0.465)  0.00
O (0.289, 0.729, 0.463)  0.00
O (0.789, 0.771, 0.963)  0.00
O (0.711, 0.271, 0.537)  0.00
O (0.211, 0.229, 0.037)  0.00
O (0.933, 0.513, 0.240)  0.00
O (0.433, 0.987, 0.740)  0.00
O (0.067, 0.487, 0.760)  0.00
O (0.567, 0.013, 0.260)  0.00

***

(2)
A relaxed structure of AcTiWO6, computed with PBE+U.

DFT total energy = -146.02 eV per cell
Calculated volume = 249 Å³/cell

a b c (Å): 5.012 5.012 9.930
angles (deg): 90.00 90.00 90.00
Each line ends with the local moment (μB).
Fractional positions:
Ac (0.500, 0.500, 0.499)  0.01
Ac (0.000, 0.000, 0.999)  0.01
Ti (0.500, 0.500, 0.839)  0.09
Ti (0.000, 0.000, 0.339)  0.09
W (0.500, 0.500, 0.165)  0.93
W (0.000, 0.000, 0.665)  0.93
O (0.166, 0.834, 0.499)  0.00
O (0.834, 0.166, 0.499)  0.00
O (0.334, 0.334, 0.999)  0.00
O (0.666, 0.666, 0.999)  0.00
O (0.231, 0.769, 0.195)  -0.02
O (0.769, 0.231, 0.195)  -0.02
O (0.269, 0.269, 0.695)  -0.02
O (0.731, 0.731, 0.695)  -0.02
O (0.768, 0.232, 0.804)  0.00
O (0.232, 0.768, 0.804)  0.00
O (0.732, 0.732, 0.304)  0.00
O (0.268, 0.268, 0.304)  0.00